Ba4PI2Br after structural relaxation. Source: Alexandria via LeMat-Bulk, functional PBE.

The structure in POSCAR format:
```
Ba4PI2Br
1.0
-0.945 -3.649 -2.905
-2.594 -4.495 6.490
-6.780 4.312 -3.211
Ba P I Br
4 1 2 1
Direct
0.500 0.261 0.219
0.500 0.739 0.781
0.000 0.282 0.792
0.000 0.718 0.208
0.500 0.500 0.000
0.500 0.000 0.500
0.000 0.500 0.500
0.000 0.000 0.000
```

E_form (uncorrected) = -1.451 eV per atom
D(E_F) = 0.44 states/eV per atom
Crystal system = monoclinic